# NaVAg2Br6

An optimized crystal structure of NaVAg2Br6 (GGA-PBE, Alexandria).

Formation energy (no corrections) = -0.74 eV/atom
Magnetic moment = 2.00 Bohr magnetons per cell
Volume = 277 Å³/f.u.
Symmetry = R3 (146)

abc: 7.105 7.106 7.546
angles: 61.91 61.91 59.99
Each line ends with the local moment (μB).
Element x y z (fractional)
Br 0.405 0.698 0.776  -0.03
Na 0.817 0.818 0.547  0.00
Br 0.560 0.233 0.247  -0.03
Br 0.698 0.120 0.776  -0.03
Ag 0.529 0.529 0.414  -0.01
Br 0.960 0.560 0.247  -0.03
V 0.327 0.327 0.018  1.97
Br 0.121 0.405 0.776  -0.03
Br 0.233 0.960 0.247  -0.03
Ag 0.011 0.011 0.967  -0.01

# GaSnRuSe2

An optimized crystal structure of GaSnRuSe2 (GGA-PBE, Alexandria).

Formation energy (no corrections) = 0.65 eV/atom
Magnetic moment = 1.68 Bohr magnetons per cell
Volume = 122 Å³/f.u.
Symmetry = P4/mmm (123)

abc: 5.057 4.769 5.057
angles: 90.00 90.00 90.00
Each line ends with the local moment (μB).
Element x y z (fractional)
Ga 0.000 0.000 0.000  -0.02
Se 0.000 0.000 0.500  0.06
Se 0.500 0.000 0.000  0.06
Ru 0.000 0.500 0.000  1.48
Sn 0.500 0.500 0.500  -0.04